Density functional theory data (PBE-GGA) for crystalline Ba2ReSi at its relaxed geometry.

Cell lengths 3.403, 8.609, 6.542 Å; angles 41.73, 90.00, 90.00 degrees
Each line ends with the local moment (μB).
Positions (direct):
1 Ba 0.000 0.000 0.000  -0.02
2 Ba 0.500 0.500 0.000  0.00
3 Re 0.500 0.500 0.500  2.15
4 Si 0.000 0.000 0.500  0.05

## Properties
Total moment ... 2.7 Bohr magnetons per cell
Total energy ... -4.274 eV per atom
D(E_F) ... 4.8 states/eV per cell